{
  "formula": "Ac3As2Au",
  "functional": "PBE-GGA",
  "state": "optimized geometry",
  "total_magnetization_mub_per_cell": 0.00,
  "e_tot_ev_per_atom": -4.9939,
  "crystal_system": "orthorhombic",
  "volume_a3_per_atom": 34.29,
  "mass_density_g_cm3": 8.295,
  "delta_e_f_ev_per_atom": -0.844,
  "cell": [[-3.808, -2.818, 2.180], [5.012, 2.227, 5.395], [-5.793, 9.091, 1.630]],
  "species": ["Au", "Au", "Ac", "As", "Ac", "Ac", "Ac", "Ac", "As", "As", "Ac", "As"],
  "fractional_positions": [[0.759, 0.518, 0.750], [0.241, 0.482, 0.250], [0.104, 0.208, 0.750], [0.000, 0.000, 0.500], [0.896, 0.792, 0.250], [0.627, 0.255, 0.449], [0.373, 0.745, 0.949], [0.627, 0.255, 0.051], [0.000, 0.000, 0.000], [0.511, 0.023, 0.750], [0.373, 0.745, 0.551], [0.489, 0.977, 0.250]]
}